## SrCaPb3 (GGA-PBE)

Data for a relaxed SrCaPb3 crystal.

Properties
- Total magnetic moment: 0.00 Bohr magnetons per cell
- Energy of formation from the pure elements: 0.087 eV per atom
- Space group: Pm-3m
- Energy above the lowest structure with this stoichiometry: 0.463 eV/atom

Cell: 5.8419 5.8419 5.8419 Å, 90.00 90.00 90.00°
Closest atoms and distances in Å follow each position.
Fractional coordinates of all 5 atoms:
Pb 0.0000 0.5000 0.0000  2 Ca 2.92
Pb 0.0000 0.0000 0.5000  2 Ca 2.92
Pb 0.5000 0.0000 0.0000  2 Ca 2.92
Sr 0.5000 0.5000 0.5000  12 Pb 4.13
Ca 0.0000 0.0000 0.0000  6 Pb 2.92

---

## SrCa2Pb (GGA-PBE)

Data for a relaxed SrCa2Pb crystal.

Properties
- Total magnetic moment: 0.00 Bohr magnetons per cell
- Energy of formation from the pure elements: -0.247 eV per atom
- Space group: R3m

Cell: 5.3866 5.3866 7.2408 Å, 68.16 68.16 60.00°
Closest atoms and distances in Å follow each position.
Fractional coordinates of all 4 atoms:
Sr 0.4921 0.4921 0.5237  1 Pb 3.67, 6 Ca 3.76-3.89
Ca 0.0506 0.0506 0.8481  3 Pb 3.20
Ca 0.2782 0.2782 0.1653  3 Pb 3.38, 3 Ca 3.74
Pb 0.6790 0.6790 0.9629  6 Ca 3.20-3.38

---

## Sr4CaPb5 (GGA-PBE)

Data for a relaxed Sr4CaPb5 crystal.

Properties
- Total magnetic moment: 0.00 Bohr magnetons per cell
- Energy of formation from the pure elements: -0.512 eV per atom
- Space group: P4/mmm

Cell: 3.9885 3.9886 21.5896 Å, 90.00 90.00 90.00°
Closest atoms and distances in Å follow each position.
Fractional coordinates of all 10 atoms:
Sr 0.0000 0.0000 0.1912  8 Pb 3.55-3.61
Sr 0.0000 0.0000 0.3960  8 Pb 3.61-3.62, 4 Sr 3.99
Sr 0.0000 0.0000 0.6040  8 Pb 3.61-3.62, 4 Sr 3.99
Sr 0.0000 0.0000 0.8088  8 Pb 3.55-3.61
Ca 0.0000 0.0000 0.0000  8 Pb 3.39
Pb 0.5000 0.5000 0.0869  4 Ca 3.39, 4 Sr 3.61, 1 Pb 3.75
Pb 0.5000 0.5000 0.2912  8 Sr 3.55-3.62
Pb 0.5000 0.5000 0.5000  8 Sr 3.61, 4 Pb 3.99
Pb 0.5000 0.5000 0.7088  8 Sr 3.55-3.62
Pb 0.5000 0.5000 0.9131  4 Ca 3.39, 4 Sr 3.61, 1 Pb 3.75

---

Please write out number 3 again, unchanged.
## Sr4CaPb5 (GGA-PBE)

Data for a relaxed Sr4CaPb5 crystal.

Properties
- Total magnetic moment: 0.00 Bohr magnetons per cell
- Energy of formation from the pure elements: -0.512 eV per atom
- Space group: P4/mmm

Cell: 3.9885 3.9886 21.5896 Å, 90.00 90.00 90.00°
Closest atoms and distances in Å follow each position.
Fractional coordinates of all 10 atoms:
Sr 0.0000 0.0000 0.1912  8 Pb 3.55-3.61
Sr 0.0000 0.0000 0.3960  8 Pb 3.61-3.62, 4 Sr 3.99
Sr 0.0000 0.0000 0.6040  8 Pb 3.61-3.62, 4 Sr 3.99
Sr 0.0000 0.0000 0.8088  8 Pb 3.55-3.61
Ca 0.0000 0.0000 0.0000  8 Pb 3.39
Pb 0.5000 0.5000 0.0869  4 Ca 3.39, 4 Sr 3.61, 1 Pb 3.75
Pb 0.5000 0.5000 0.2912  8 Sr 3.55-3.62
Pb 0.5000 0.5000 0.5000  8 Sr 3.61, 4 Pb 3.99
Pb 0.5000 0.5000 0.7088  8 Sr 3.55-3.62
Pb 0.5000 0.5000 0.9131  4 Ca 3.39, 4 Sr 3.61, 1 Pb 3.75